A geometry-optimized U2SiB3 structure. Source: Alexandria, functional PBE.

Cell lengths 3.2951, 3.2951, 16.4297 Å; angles 90.00, 90.00, 120.00 degrees
Last column: nearest neighbours and their distance in Å.
Space group P6_3/mmc (No. 194)
Unique sites:
U 0.0000 0.0000 0.1167 (multiplicity 4)  9 B 2.70-2.90, 3 Si 2.90
Si 0.3333 0.6667 0.2500 (multiplicity 2)  3 B 1.90
B 0.3333 0.6667 0.0005 (multiplicity 4)  3 B 1.90
B 0.3333 0.6667 0.7500 (multiplicity 2)  3 Si 1.90

Output
* E: -8.3888 eV/atom